A plane-wave DFT calculation with GGA-PBE was carried out for an optimized crystal structure of SmHo2Er.

abc: 3.6242 6.7032 6.7032
angles: 55.58 74.33 74.32
Atoms (fractional coordinates):
Sm1 0.2500 0.1683 0.3317
Ho1 0.0013 0.0814 0.9152
Ho2 0.4986 0.5849 0.4186
Er1 0.7500 0.6655 0.8345

Output
- energy relative to the lowest polymorph listed for this composition (meV/atom) = 0
- size of the total moment (μB/cell) = 0.00
- energy of formation from the pure elements (eV/atom) = 0.01
- E (eV per atom) = -4.60
- DOS(E_F) (states/eV per atom) = 1.70

***

A plane-wave DFT calculation with GGA-PBE was carried out for an optimized crystal structure of Sm3Ho2Er3.

abc: 5.9101 5.9114 8.4435
angles: 110.48 110.49 90.00
Atoms (fractional coordinates):
Sm1 0.3728 0.8730 0.7457
Sm2 0.5000 0.5000 0.0000
Sm3 0.6272 0.1270 0.2543
Ho1 0.7512 0.7510 0.5024
Ho2 0.2488 0.2490 0.4976
Er1 0.8753 0.3753 0.7506
Er2 0.1247 0.6247 0.2494
Er3 0.0000 0.0000 0.0000

Output
- energy relative to the lowest polymorph listed for this composition (meV/atom) = 0
- size of the total moment (μB/cell) = 0.00
- energy of formation from the pure elements (eV/atom) = 0.13
- E (eV per atom) = -4.50
- DOS(E_F) (states/eV per atom) = 2.30

***

A plane-wave DFT calculation with GGA-PBE was carried out for an optimized crystal structure of Sm12Ho6Er.

abc: 9.1809 9.1809 9.1809
angles: 106.59 106.59 106.59
Atoms (fractional coordinates):
Sm1 0.4841 0.1914 0.5819
Sm2 0.1914 0.5819 0.4841
Sm3 0.5819 0.4841 0.1914
Sm4 0.5159 0.8086 0.4181
Sm5 0.8086 0.4181 0.5159
Sm6 0.4181 0.5159 0.8086
Sm7 0.2779 0.1339 0.8267
Sm8 0.1733 0.7221 0.8661
Sm9 0.8661 0.1733 0.7221
Sm10 0.7221 0.8661 0.1733
Sm11 0.8267 0.2779 0.1339
Sm12 0.1339 0.8267 0.2779
Ho1 0.0778 0.1898 0.4541
Ho2 0.8102 0.5459 0.9222
Ho3 0.5459 0.9222 0.8102
Ho4 0.9222 0.8102 0.5459
Ho5 0.1898 0.4541 0.0778
Ho6 0.4541 0.0778 0.1898
Er1 0.0000 0.0000 0.0000

Output
- energy relative to the lowest polymorph listed for this composition (meV/atom) = 101
- size of the total moment (μB/cell) = 0.00
- energy of formation from the pure elements (eV/atom) = 0.24
- E (eV per atom) = -4.42
- DOS(E_F) (states/eV per atom) = 1.55

***

A plane-wave DFT calculation with GGA-PBE was carried out for an optimized crystal structure of SmHo6Er8.

abc: 8.9577 8.9577 8.5414
angles: 58.37 58.37 60.00
Atoms (fractional coordinates):
Sm1 0.0000 0.0000 0.0000
Ho1 0.4609 0.8892 0.8771
Ho2 0.1108 0.2272 0.1229
Ho3 0.2272 0.5391 0.1229
Ho4 0.7728 0.4609 0.8771
Ho5 0.8892 0.7728 0.8771
Ho6 0.5391 0.1108 0.1229
Er1 0.2575 0.2790 0.5737
Er2 0.7210 0.1101 0.4263
Er3 0.1101 0.7425 0.4263
Er4 0.5763 0.5763 0.2710
Er5 0.4237 0.4237 0.7290
Er6 0.8899 0.2575 0.5737
Er7 0.2790 0.8899 0.5737
Er8 0.7425 0.7210 0.4263

Output
- energy relative to the lowest polymorph listed for this composition (meV/atom) = 0
- size of the total moment (μB/cell) = 0.00
- energy of formation from the pure elements (eV/atom) = 0.13
- E (eV per atom) = -4.45
- DOS(E_F) (states/eV per atom) = 1.48

***

A plane-wave DFT calculation with GGA-PBE was carried out for an optimized crystal structure of SmHo8Er2.

abc: 5.5039 10.0963 10.0963
angles: 39.86 92.67 92.67
Atoms (fractional coordinates):
Sm1 0.0000 0.0000 0.0000
Ho1 0.2677 0.1328 0.6004
Ho2 0.2677 0.6004 0.1328
Ho3 0.7323 0.8672 0.3996
Ho4 0.2375 0.5469 0.5469
Ho5 0.7323 0.3996 0.8672
Ho6 0.2333 0.1883 0.1883
Ho7 0.7667 0.8117 0.8117
Ho8 0.7625 0.4531 0.4531
Er1 0.7496 0.2843 0.2843
Er2 0.2504 0.7157 0.7157

Output
- energy relative to the lowest polymorph listed for this composition (meV/atom) = 56
- size of the total moment (μB/cell) = 0.00
- energy of formation from the pure elements (eV/atom) = 0.15
- E (eV per atom) = -4.43
- DOS(E_F) (states/eV per atom) = 1.65

***

A plane-wave DFT calculation with GGA-PBE was carried out for an optimized crystal structure of SmHo6Er3.

abc: 6.1494 10.8863 10.8863
angles: 119.68 90.00 90.00
Atoms (fractional coordinates):
Sm1 0.1534 0.2073 0.7927
Sm2 0.6534 0.7927 0.2073
Ho1 0.0312 0.7109 0.6184
Ho2 0.5312 0.6184 0.7109
Ho3 0.3630 0.5405 0.9608
Ho4 0.8630 0.9608 0.5405
Ho5 0.4162 0.9527 0.0473
Ho6 0.6424 0.2845 0.7155
Ho7 0.1424 0.7155 0.2845
Ho8 0.9162 0.0473 0.9527
Ho9 0.3630 0.0392 0.4595
Ho10 0.8630 0.4595 0.0392
Ho11 0.0312 0.3816 0.2891
Ho12 0.5312 0.2891 0.3816
Er1 0.4564 0.9362 0.7188
Er2 0.9564 0.7188 0.9362
Er3 0.0722 0.3900 0.6100
Er4 0.5722 0.6100 0.3900
Er5 0.9564 0.0638 0.2812
Er6 0.4564 0.2812 0.0638

Output
- energy relative to the lowest polymorph listed for this composition (meV/atom) = 25
- size of the total moment (μB/cell) = 0.00
- energy of formation from the pure elements (eV/atom) = 0.15
- E (eV per atom) = -4.44
- DOS(E_F) (states/eV per atom) = 1.39

***

A plane-wave DFT calculation with GGA-PBE was carried out for an optimized crystal structure of SmHo4Er8.

abc: 7.2329 7.2328 9.8723
angles: 90.00 111.49 120.00
Atoms (fractional coordinates):
Sm1 0.0000 0.5000 0.5000
Ho1 0.0000 0.0000 0.0000
Ho2 0.0000 0.5000 0.0000
Ho3 0.5000 0.5000 0.0000
Ho4 0.5000 0.0000 0.0000
Er1 0.5643 0.7821 0.3465
Er2 0.4357 0.2178 0.6535
Er3 0.4992 0.2496 0.3053
Er4 0.9443 0.1939 0.6947
Er5 0.5008 0.7504 0.6947
Er6 0.9443 0.7504 0.6947
Er7 0.0557 0.2496 0.3053
Er8 0.0557 0.8061 0.3053

Output
- size of the total moment (μB/cell) = 0.00
- energy of formation from the pure elements (eV/atom) = 0.21
- E (eV per atom) = -4.37
- DOS(E_F) (states/eV per atom) = 1.21

***

A plane-wave DFT calculation with GGA-PBE was carried out for an optimized crystal structure of Sm4Ho5Er.

abc: 5.9070 8.0728 8.0728
angles: 82.31 68.54 68.54
Atoms (fractional coordinates):
Sm1 0.4505 0.3229 0.6772
Sm2 0.7734 0.6772 0.6771
Sm3 0.1277 0.3228 0.3229
Sm4 0.4506 0.6771 0.3228
Ho1 0.7628 0.3776 0.9999
Ho2 0.1404 0.9999 0.6224
Ho3 0.7627 0.0001 0.3776
Ho4 0.1403 0.6224 0.0001
Ho5 0.6888 0.0000 0.0000
Er1 0.2132 0.0000 0.0000

Output
- size of the total moment (μB/cell) = 0.00
- energy of formation from the pure elements (eV/atom) = 0.25
- E (eV per atom) = -4.38
- DOS(E_F) (states/eV per atom) = 1.32